*one*
## GeAsS2 (PBE)

Data for a relaxed structure of GeAsS2.

Structure (CIF):
```
data_GeAsS2
_chemical_formula_sum 'Ge4 As4 S8'
_cell_length_a 6.583
_cell_length_b 6.583
_cell_length_c 6.583
_cell_angle_alpha 90.00
_cell_angle_beta 90.00
_cell_angle_gamma 90.00
_symmetry_space_group_name_H-M 'F m -3 m'
_symmetry_Int_Tables_number 225
_symmetry_space_group_name_Hall '-F 4 2 3'
loop_
_atom_site_label
_atom_site_fract_x
_atom_site_fract_y
_atom_site_fract_z
Ge1 0.000 0.000 0.000
As1 0.000 0.000 0.500
S1 0.250 0.250 0.250
```


*two*
## GeAsS2 (PBE)

Data for a relaxed structure of GeAsS2.

Structure (CIF):
```
data_GeAsS2
_chemical_formula_sum 'Ge4 As4 S8'
_cell_length_a 5.019
_cell_length_b 5.019
_cell_length_c 14.811
_cell_angle_alpha 90.00
_cell_angle_beta 90.00
_cell_angle_gamma 90.00
_symmetry_space_group_name_H-M 'I -4 2 d'
_symmetry_Int_Tables_number 122
_symmetry_space_group_name_Hall 'I -4 2bw'
loop_
_atom_site_label
_atom_site_fract_x
_atom_site_fract_y
_atom_site_fract_z
Ge1 0.000 0.000 0.000
As1 0.000 0.000 0.500
S1 0.240 0.250 0.625
```


Of them, *two* has the highest stability.


*one*
## Ge2SbAs2 (PBE)

Data for a relaxed structure of Ge2SbAs2.

Structure (CIF):
```
data_Ge2SbAs2
_chemical_formula_sum 'Ge4 Sb2 As4'
_cell_length_a 3.820
_cell_length_b 3.820
_cell_length_c 15.149
_cell_angle_alpha 90.00
_cell_angle_beta 90.00
_cell_angle_gamma 90.00
_symmetry_space_group_name_H-M 'I 4/m m m'
_symmetry_Int_Tables_number 139
_symmetry_space_group_name_Hall '-I 4 2'
loop_
_atom_site_label
_atom_site_fract_x
_atom_site_fract_y
_atom_site_fract_z
Ge1 0.000 0.000 0.100
Sb1 0.000 0.000 0.500
As1 0.000 0.500 0.250
```


*two*
## Ge2SbAs2 (PBE)

Data for a relaxed structure of Ge2SbAs2.

Structure (CIF):
```
data_Ge2SbAs2
_chemical_formula_sum 'Ge4 Sb2 As4'
_cell_length_a 7.812
_cell_length_b 7.812
_cell_length_c 3.448
_cell_angle_alpha 90.00
_cell_angle_beta 90.00
_cell_angle_gamma 90.00
_symmetry_space_group_name_H-M 'P 4/m b m'
_symmetry_Int_Tables_number 127
_symmetry_space_group_name_Hall '-P 4 2ab'
loop_
_atom_site_label
_atom_site_fract_x
_atom_site_fract_y
_atom_site_fract_z
Ge1 0.144 0.356 0.000
Sb1 0.000 0.000 0.000
As1 0.154 0.654 0.500
```


Of them, *one* has the highest stability.